Entry 1:
DFT (PBE) results for HfNb2AgH after structural relaxation.

extended XYZ file:
```
5
Lattice="4.099 0.000 0.000 0.000 4.099 0.000 0.000 0.000 4.621" Properties=species:S:1:pos:R:3 pbc="T T T"
Nb 2.049 0.000 0.000
Nb 0.000 2.049 0.000
Hf 0.000 0.000 2.311
H 0.000 0.000 0.000
Ag 2.049 2.049 2.311
```

Calculated values
**Total DFT energy (no corrections)**: -36.27 eV per formula unit
**V**: 15.53 A^3/atom

***

Entry 2:
DFT (PBE) results for Hf2NbAgH after structural relaxation.

extended XYZ file:
```
5
Lattice="4.583 0.000 0.000 0.000 4.583 0.000 0.000 0.000 3.854" Properties=species:S:1:pos:R:3 pbc="T T T"
H 0.000 0.000 0.000
Ag 2.292 2.292 1.927
Hf 0.000 2.292 0.000
Hf 2.292 0.000 0.000
Nb 0.000 0.000 1.927
```

Calculated values
**Total DFT energy (no corrections)**: -36.44 eV per formula unit
**V**: 16.19 A^3/atom

***

Entry 3:
DFT (PBE) results for Hf2AgHPd after structural relaxation.

extended XYZ file:
```
5
Lattice="-0.697 2.423 -3.492 -4.097 -1.323 -0.100 -1.089 3.189 2.430" Properties=species:S:1:pos:R:3 pbc="T T T"
Ag -0.545 1.594 1.215
Hf -2.049 -0.662 -0.050
Hf -0.348 1.211 -1.746
H 0.000 0.000 0.000
Pd -2.942 2.144 -0.581
```

Calculated values
**Total DFT energy (no corrections)**: -32.43 eV per formula unit
**V**: 15.41 A^3/atom

***

Entry 4:
DFT (PBE) results for Hf2AgHPd after structural relaxation.

extended XYZ file:
```
5
Lattice="4.371 0.000 0.000 0.000 4.371 0.000 0.000 0.000 4.039" Properties=species:S:1:pos:R:3 pbc="T T T"
H 0.000 0.000 0.000
Hf 2.186 0.000 0.000
Hf 0.000 2.186 0.000
Ag 2.186 2.186 2.020
Pd 0.000 0.000 2.020
```

Calculated values
**Total DFT energy (no corrections)**: -32.51 eV per formula unit
**V**: 15.44 A^3/atom

***

Entry 5:
DFT (PBE) results for HfAgHRh2 after structural relaxation.

extended XYZ file:
```
5
Lattice="4.073 0.000 0.000 0.000 4.073 0.000 0.000 0.000 4.039" Properties=species:S:1:pos:R:3 pbc="T T T"
Rh 2.037 0.000 0.000
Rh 0.000 2.037 0.000
Ag 2.037 2.037 2.020
H 0.000 0.000 0.000
Hf 0.000 0.000 2.020
```

Calculated values
**Total DFT energy (no corrections)**: -32.84 eV per formula unit
**V**: 13.40 A^3/atom

***

Entry 6:
DFT (PBE) results for HfAgHRh2 after structural relaxation.

extended XYZ file:
```
5
Lattice="-0.219 3.687 -3.203 0.639 -2.211 -2.589 -4.799 -0.755 -0.541" Properties=species:S:1:pos:R:3 pbc="T T T"
Ag -2.189 0.361 -3.166
H 0.320 -1.106 -1.294
Rh -2.400 -0.377 -0.271
Rh -0.109 1.843 -1.601
Hf 0.000 0.000 0.000
```

Calculated values
**Total DFT energy (no corrections)**: -29.00 eV per formula unit
**V**: 16.56 A^3/atom

***

Entry 7:
DFT (PBE) results for HfAgHRh2 after structural relaxation.

extended XYZ file:
```
5
Lattice="-3.884 1.262 0.833 -1.296 -3.961 -0.045 0.718 -0.278 3.768" Properties=species:S:1:pos:R:3 pbc="T T T"
H 0.000 0.000 0.000
Hf -2.231 -1.488 2.278
Rh -0.648 -1.980 -0.022
Rh -1.942 0.631 0.416
Ag 0.359 -0.139 1.884
```

Calculated values
**Total DFT energy (no corrections)**: -32.94 eV per formula unit
**V**: 13.36 A^3/atom

***

Entry 8:
DFT (PBE) results for HfSc2AgH after structural relaxation.

extended XYZ file:
```
5
Lattice="-2.763 -0.529 -3.503 2.368 -3.580 -1.327 -2.513 -2.539 2.365" Properties=species:S:1:pos:R:3 pbc="T T T"
Sc 1.184 -1.790 -0.663
Sc -1.381 -0.265 -1.752
Hf -1.257 -1.270 1.183
Ag -1.454 -3.324 -1.232
H 0.000 0.000 0.000
```

Calculated values
**Total DFT energy (no corrections)**: -29.35 eV per formula unit
**V**: 17.30 A^3/atom

***

Number 1: magnetic moment 0.000 μB/atom. Number 2: magnetic moment 0.000 μB/atom. Number 3: magnetic moment 0.049 μB/atom. Number 4: magnetic moment 0.064 μB/atom. Number 5: magnetic moment 0.000 μB/atom. Number 6: magnetic moment 0.000 μB/atom. Number 7: magnetic moment 0.000 μB/atom. Number 8: magnetic moment 0.046 μB/atom.